(1)
Na3CoRh3S8 | PBE-GGA | optimized geometry

- energy relative to the elements, uncorrected (eV/atom) = -0.640

a b c (Å): 7.1289 7.1329 7.6192
angles (deg): 117.98 90.00 119.98
Last column: magnetic moment on the atom in μB.
Atoms (fractional coordinates):
Na 0.0000 0.0000 0.0000  0.00
Na 0.0000 0.5000 0.0000  0.00
Na 0.5000 0.5000 0.0000  0.00
Co 0.0000 0.0000 0.5000  0.29
Rh 0.5000 0.0000 0.5000  0.01
Rh 0.5000 0.5000 0.5000  0.01
Rh 0.0000 0.5000 0.5000  0.01
S 0.2705 0.5409 0.3115  0.01
S 0.7295 0.4591 0.6885  0.01
S 0.7790 0.5580 0.3181  0.01
S 0.2210 0.4420 0.6819  0.01
S 0.7791 0.0389 0.3181  0.01
S 0.2209 0.9611 0.6819  0.01
S 0.2598 0.0389 0.3181  0.01
S 0.7402 0.9611 0.6819  0.01



(2)
Na2CoRh2Se6 | PBE-GGA | optimized geometry

- energy relative to the elements, uncorrected (eV/atom) = -0.555

a b c (Å): 6.2884 6.2884 7.1922
angles (deg): 98.20 98.20 117.57
Atoms (fractional coordinates):
Na 0.8219 0.1781 0.0000
Na 0.1781 0.8219 0.0000
Co 0.0000 0.0000 0.5000
Rh 0.3387 0.6613 0.5000
Rh 0.6613 0.3387 0.5000
Se 0.7515 0.7515 0.6908
Se 0.0598 0.3827 0.6821
Se 0.2485 0.2485 0.3092
Se 0.3827 0.0598 0.6821
Se 0.9402 0.6173 0.3179
Se 0.6173 0.9402 0.3179



(3)
Na3CoRh3Se8 | PBE-GGA | optimized geometry

- energy relative to the elements, uncorrected (eV/atom) = -0.581

a b c (Å): 7.4614 7.4662 8.0556
angles (deg): 117.67 90.00 119.98
Last column: magnetic moment on the atom in μB.
Atoms (fractional coordinates):
Na 0.0000 0.0000 0.0000  0.00
Na 0.0000 0.5000 0.0000  0.00
Na 0.5000 0.5000 0.0000  0.00
Co 0.0000 0.0000 0.5000  0.20
Rh 0.5000 0.0000 0.5000  0.01
Rh 0.5000 0.5000 0.5000  0.01
Rh 0.0000 0.5000 0.5000  0.01
Se 0.2703 0.5406 0.3111  0.01
Se 0.7297 0.4594 0.6889  0.01
Se 0.7784 0.5568 0.3164  0.01
Se 0.2216 0.4432 0.6836  0.01
Se 0.7784 0.0379 0.3165  0.01
Se 0.2216 0.9621 0.6835  0.01
Se 0.2595 0.0379 0.3165  0.01
Se 0.7405 0.9621 0.6835  0.01



(4)
Na4CoRh3Se8 | PBE-GGA | optimized geometry

- energy relative to the elements, uncorrected (eV/atom) = -0.649

a b c (Å): 7.5662 7.9356 7.5669
angles (deg): 118.50 120.00 90.00
Atoms (fractional coordinates):
Na 0.5000 0.0000 0.0000
Na 0.5000 0.0000 0.5000
Na 0.0000 0.0000 0.0000
Na 0.0000 0.0000 0.5000
Co 0.0000 0.5000 0.0000
Rh 0.5000 0.5000 0.0000
Rh 0.5000 0.5000 0.5000
Rh 0.0000 0.5000 0.5000
Se 0.2233 0.6852 0.9620
Se 0.2233 0.6852 0.4466
Se 0.2699 0.3097 0.5397
Se 0.7388 0.6852 0.9620
Se 0.2612 0.3148 0.0380
Se 0.7301 0.6903 0.4603
Se 0.7767 0.3148 0.5534
Se 0.7767 0.3148 0.0380



(5)
NaTa2CoRh | PBE-GGA | optimized geometry

- ΔH_f (0 K) (eV/atom) = 2.32

a b c (Å): 4.5694 4.3329 4.5694
angles (deg): 90.00 90.00 90.00
Atoms (fractional coordinates):
Na 0.0000 0.0000 0.0000
Co 0.5000 0.5000 0.5000
Rh 0.0000 0.5000 0.0000
Ta 0.0000 0.0000 0.5000
Ta 0.5000 0.0000 0.0000



(6)
NaTaCo2Rh | PBE-GGA | optimized geometry

- ΔH_f (0 K) (eV/atom) = 1.00

a b c (Å): 4.5756 4.7841 4.5756
angles (deg): 90.00 90.00 90.00
Last column: magnetic moment on the atom in μB.
Atoms (fractional coordinates):
Na 0.5000 0.5000 0.5000  0.00
Co 0.0000 0.0000 0.5000  0.76
Co 0.5000 0.0000 0.0000  0.57
Rh 0.0000 0.5000 0.0000  -0.04
Ta 0.0000 0.0000 0.0000  -0.18



(7)
NaCo2Ru2 | PBE-GGA | optimized geometry

- ΔH_f (0 K) (eV/atom) = 0.42

a b c (Å): 7.3743 7.3743 2.5603
angles (deg): 90.00 90.00 90.00
Last column: magnetic moment on the atom in μB.
Atoms (fractional coordinates):
Ru 0.1725 0.6725 0.5000  0.02
Ru 0.6725 0.8275 0.5000  0.01
Ru 0.8275 0.3275 0.5000  0.02
Ru 0.3275 0.1725 0.5000  0.01
Co 0.3832 0.8832 0.0000  0.22
Co 0.8832 0.6168 0.0000  0.23
Co 0.6168 0.1168 0.0000  0.22
Co 0.1168 0.3832 0.0000  0.23
Na 0.0000 0.0000 0.0000  0.00
Na 0.5000 0.5000 0.0000  0.00



(8)
NaCo2Ru | PBE-GGA | optimized geometry

- ΔH_f (0 K) (eV/atom) = 0.98

a b c (Å): 6.8911 6.8911 5.5590
angles (deg): 51.70 51.70 90.00
Last column: magnetic moment on the atom in μB.
Atoms (fractional coordinates):
Ru 0.0000 0.0000 0.0000  0.96
Ru 0.7500 0.2500 0.5000  0.96
Co 0.6671 0.1250 0.2500  1.64
Co 0.0829 0.6250 0.2500  1.60
Co 0.3750 0.3329 0.7500  1.69
Co 0.8750 0.9171 0.7500  1.67
Na 0.5000 0.5000 0.0000  -0.01
Na 0.2500 0.7500 0.5000  -0.01



(9)
NaCo2Ru2 | PBE-GGA | optimized geometry

- ΔH_f (0 K) (eV/atom) = 0.40

a b c (Å): 7.4971 7.4971 2.5492
angles (deg): 90.00 90.00 90.00
Last column: magnetic moment on the atom in μB.
Atoms (fractional coordinates):
Ru 0.3762 0.8762 0.0000  0.18
Ru 0.8762 0.6238 0.0000  0.19
Ru 0.6238 0.1238 0.0000  0.18
Ru 0.1238 0.3762 0.0000  0.19
Co 0.1680 0.6680 0.5000  1.05
Co 0.6680 0.8320 0.5000  1.07
Co 0.8320 0.3320 0.5000  1.05
Co 0.3320 0.1680 0.5000  1.07
Na 0.0000 0.0000 0.0000  -0.01
Na 0.5000 0.5000 0.0000  -0.01



(10)
NaCo2Ru | PBE-GGA | optimized geometry

- ΔH_f (0 K) (eV/atom) = 0.70

a b c (Å): 4.2682 4.2682 4.2682
angles (deg): 60.00 60.00 60.00
Last column: magnetic moment on the atom in μB.
Atoms (fractional coordinates):
Ru 0.5000 0.5000 0.5000  1.20
Co 0.2500 0.2500 0.2500  1.76
Co 0.7500 0.7500 0.7500  1.76
Na 0.0000 0.0000 0.0000  -0.02



(11)
Na2TiCoRu | PBE-GGA | optimized geometry

- ΔH_f (0 K) (eV/atom) = 1.65

a b c (Å): 5.2372 4.0217 5.2372
angles (deg): 90.00 90.00 90.00
Last column: magnetic moment on the atom in μB.
Atoms (fractional coordinates):
Na 0.0000 0.0000 0.5000  -0.02
Na 0.5000 0.0000 0.0000  -0.02
Ru 0.5000 0.5000 0.5000  2.11
Co 0.0000 0.5000 0.0000  0.09
Ti 0.0000 0.0000 0.0000  -0.34



(12)
Na2ZrCoRu | PBE-GGA | optimized geometry

- ΔH_f (0 K) (eV/atom) = 1.87

a b c (Å): 5.4730 4.3099 5.4730
angles (deg): 90.00 90.00 90.00
Last column: magnetic moment on the atom in μB.
Atoms (fractional coordinates):
Ru 0.5000 0.5000 0.5000  2.24
Co 0.0000 0.5000 0.0000  -0.03
Zr 0.0000 0.0000 0.0000  -0.24
Na 0.0000 0.0000 0.5000  -0.02
Na 0.5000 0.0000 0.0000  -0.02